Computed, not measured: Ca3LaAl after structural relaxation at the PBE level of DFT.

Structure (CIF):
```
data_Ca3LaAl
_chemical_formula_sum 'Ca3 La1 Al1'
_space_group_name_H-M_alt 'P m -3 m'
_space_group_IT_number 221
_space_group_name_Hall '-P 4 2 3'
_cell_length_a 5.814
_cell_length_b 5.814
_cell_length_c 5.814
_cell_angle_alpha 90.00
_cell_angle_beta 90.00
_cell_angle_gamma 90.00
loop_
_atom_site_label
_atom_site_type_symbol
_atom_site_fract_x
_atom_site_fract_y
_atom_site_fract_z
Ca1 Ca 0.000 0.000 0.500
La1 La 0.000 0.000 0.000
Al1 Al 0.500 0.500 0.500
```

Output
Crystal system = cubic
E_form = 1035 meV per atom
Final energy = -9.5 eV per cell
Distance to the lowest polymorph of the same formula = 806 meV per atom


Computed, not measured: UCrW2 after structural relaxation at the PBE level of DFT.

Structure (CIF):
```
data_UCrW2
_chemical_formula_sum 'U1 Cr1 W2'
_space_group_name_H-M_alt 'P 4/m m m'
_space_group_IT_number 123
_space_group_name_Hall '-P 4 2'
_cell_length_a 2.948
_cell_length_b 2.948
_cell_length_c 7.664
_cell_angle_alpha 90.00
_cell_angle_beta 90.00
_cell_angle_gamma 90.00
loop_
_atom_site_label
_atom_site_type_symbol
_atom_site_fract_x
_atom_site_fract_y
_atom_site_fract_z
U1 U 0.000 0.000 0.000
Cr1 Cr 0.000 0.000 0.500
W1 W 0.500 0.500 0.299
```

Output
Crystal system = tetragonal
E_form = 307 meV per atom
Final energy = -45.6 eV per cell


Computed, not measured: PRuSe2 after structural relaxation at the PBE level of DFT.

Structure (CIF):
```
data_PRuSe2
_chemical_formula_sum 'P1 Ru1 Se2'
_space_group_name_H-M_alt 'P 4 m m'
_space_group_IT_number 99
_cell_length_a 2.858
_cell_length_b 2.858
_cell_length_c 9.312
_cell_angle_alpha 90.00
_cell_angle_beta 90.00
_cell_angle_gamma 90.00
loop_
_space_group_symop_operation_xyz
'x,y,z'
'-y,x,z'
'-x,-y,z'
'y,-x,z'
'-x,y,z'
'y,x,z'
'x,-y,z'
'-y,-x,z'
loop_
_atom_site_label
_atom_site_type_symbol
_atom_site_fract_x
_atom_site_fract_y
_atom_site_fract_z
P1 P 0.000 0.000 0.000
Ru1 Ru 0.500 0.500 0.143
Se1 Se 0.000 0.000 0.348
Se2 Se 0.500 0.500 0.697
```

Output
Raw formation energy = 0.11 eV/atom
Crystal system = tetragonal
Final energy = -21.2 eV per cell


Computed, not measured: V2GaNi after structural relaxation at the PBE level of DFT.

Structure (CIF):
```
data_V2GaNi
_chemical_formula_sum 'V4 Ga2 Ni2'
_space_group_name_H-M_alt 'I m m m'
_space_group_IT_number 71
_space_group_name_Hall '-I 2 2'
_cell_length_a 3.247
_cell_length_b 3.801
_cell_length_c 8.324
_cell_angle_alpha 90.00
_cell_angle_beta 90.00
_cell_angle_gamma 90.00
loop_
_atom_site_label
_atom_site_type_symbol
_atom_site_fract_x
_atom_site_fract_y
_atom_site_fract_z
V1 V 0.000 0.000 0.246
Ga1 Ga 0.000 0.500 0.000
Ni1 Ni 0.000 0.500 0.500
```

Output
Crystal system = orthorhombic
E_form = -253 meV per atom
Final energy = -56.1 eV per cell


What did the first record say?
Computed, not measured: Ca3LaAl after structural relaxation at the PBE level of DFT.

Structure (CIF):
```
data_Ca3LaAl
_chemical_formula_sum 'Ca3 La1 Al1'
_space_group_name_H-M_alt 'P m -3 m'
_space_group_IT_number 221
_space_group_name_Hall '-P 4 2 3'
_cell_length_a 5.814
_cell_length_b 5.814
_cell_length_c 5.814
_cell_angle_alpha 90.00
_cell_angle_beta 90.00
_cell_angle_gamma 90.00
loop_
_atom_site_label
_atom_site_type_symbol
_atom_site_fract_x
_atom_site_fract_y
_atom_site_fract_z
Ca1 Ca 0.000 0.000 0.500
La1 La 0.000 0.000 0.000
Al1 Al 0.500 0.500 0.500
```

Output
Crystal system = cubic
E_form = 1035 meV per atom
Final energy = -9.5 eV per cell
Distance to the lowest polymorph of the same formula = 806 meV per atom